A plane-wave DFT calculation with PBE with a Hubbard U was carried out for crystalline Li2VO2F at its relaxed geometry.

abc: 5.158 5.158 8.453
angles: 113.76 113.76 33.17
Sites, in units of the cell vectors:
1 Li 0.000 0.000 0.000
2 Li 0.000 0.000 0.500
3 Li 0.348 0.348 0.673
4 Li 0.652 0.652 0.327
5 V 0.337 0.337 0.168
6 V 0.663 0.663 0.832
7 O 0.011 0.011 0.748
8 O 0.322 0.322 0.915
9 O 0.678 0.678 0.085
10 O 0.989 0.989 0.252
11 F 0.330 0.330 0.416
12 F 0.670 0.670 0.584

Summary:
**Offset from the most stable computed form**: 25.2 kJ/mol of formula units
**Final energy**: -6.187 eV per atom